1.
Entry from Alexandria via LeMat-Bulk: crystalline KMgCd2 at its relaxed geometry (PBEsol).

ΔH_f (0 K) = -0.02 eV/atom
Density of states at the Fermi level = 0.44 states/eV per atom
Size of the total moment = 0.0 μB/cell

```
data_KMgCd2
_cell_length_a 3.1324
_cell_length_b 4.1661
_cell_length_c 8.2772
_cell_angle_alpha 90.00
_cell_angle_beta 90.00
_cell_angle_gamma 90.00
_symmetry_space_group_name_H-M 'P m m m'
_symmetry_Int_Tables_number 47
loop_
_symmetry_equiv_pos_as_xyz
'x,y,z'
'-x,-y,-z'
'-x,-y,z'
'x,y,-z'
'x,-y,-z'
'-x,y,z'
'-x,y,-z'
'x,-y,z'
loop_
_atom_site_label
_atom_site_fract_x
_atom_site_fract_y
_atom_site_fract_z
K1 0.0000 0.0000 0.0000
Mg1 0.0000 0.0000 0.5000
Cd1 0.5000 0.5000 0.3098
```


2.
Entry from Alexandria via LeMat-Bulk: crystalline K2Mg2Cd at its relaxed geometry (PBEsol).

ΔH_f (0 K) = 0.21 eV/atom
Density of states at the Fermi level = 0.52 states/eV per atom
Size of the total moment = 0.0 μB/cell

```
data_K2Mg2Cd
_cell_length_a 4.1728
_cell_length_b 4.1728
_cell_length_c 22.0865
_cell_angle_alpha 90.00
_cell_angle_beta 90.00
_cell_angle_gamma 90.00
_symmetry_space_group_name_H-M 'I 4/m m m'
_symmetry_Int_Tables_number 139
_symmetry_space_group_name_Hall '-I 4 2'
loop_
_atom_site_label
_atom_site_fract_x
_atom_site_fract_y
_atom_site_fract_z
K1 0.0000 0.0000 0.1010
Mg1 0.0000 0.5000 0.2500
Cd1 0.0000 0.0000 0.5000
```